A geometry-optimized Lu2Ge structure. Source: the Open Quantum Materials Database, functional PBE.

The space group is Fd-3m (No. 227, origin choice 2) and the conventional cell measures 8.519, 8.519 and 8.519 Å, with angles of 90.00, 90.00 and 90.00 degrees. The asymmetric unit holds Lu at (0.000, 0.000, 0.000) and Ge at (0.125, 0.125, 0.625).

The calculation puts the mass density at 9.1 g cm⁻³. As for the total DFT energy (no corrections): -4.243 eV per atom.

---

A geometry-optimized Lu11Ge10 structure. Source: the Open Quantum Materials Database, functional PBE.

The space group is I4/mmm (No. 139) and the conventional cell measures 10.714, 10.714 and 15.965 Å, with angles of 90.00, 90.00 and 90.00 degrees. The asymmetric unit holds Lu at (0.000, 0.000, 0.161), Lu at (0.000, 0.252, 0.311), Lu at (0.000, 0.326, 0.102), Lu at (0.177, 0.177, 0.500), Ge at (0.000, 0.000, 0.386), Ge at (0.000, 0.358, 0.500), Ge at (0.000, 0.500, 0.250), Ge at (0.122, 0.122, 0.000) and Ge at (0.209, 0.209, 0.180).

The calculation puts the mass density at 9.6 g cm⁻³. As for the total DFT energy (no corrections): -5.379 eV per atom.

---

A geometry-optimized LuMg2Ge structure. Source: the Open Quantum Materials Database, functional PBE.

The space group is F-43m (No. 216) and the conventional cell measures 7.049, 7.049 and 7.049 Å, with angles of 90.00, 90.00 and 90.00 degrees. The asymmetric unit holds Lu at (0.000, 0.000, 0.000), Mg at (0.000, 0.000, 0.500), Mg at (0.250, 0.250, 0.250) and Ge at (0.250, 0.250, 0.750).

The calculation puts the mass density at 5.6 g cm⁻³. As for the total DFT energy (no corrections): -3.191 eV per atom.

---

A geometry-optimized LuMg4Ge2 structure. Source: the Open Quantum Materials Database, functional PBE.

The space group is P4/mmm (No. 123) and the conventional cell measures 4.378, 4.378 and 8.057 Å, with angles of 90.00, 90.00 and 90.00 degrees. The asymmetric unit holds Lu at (0.000, 0.000, 0.000), Mg at (0.000, 0.500, 0.292), Ge at (0.000, 0.000, 0.500) and Ge at (0.500, 0.500, 0.000).

The calculation puts the mass density at 4.5 g cm⁻³. As for the total DFT energy (no corrections): -3.026 eV per atom.

---

A geometry-optimized LuMgGe2 structure. Source: the Open Quantum Materials Database, functional PBE.

The space group is F-43m (No. 216) and the conventional cell measures 6.979, 6.979 and 6.979 Å, with angles of 90.00, 90.00 and 90.00 degrees. The asymmetric unit holds Lu at (0.000, 0.000, 0.000), Mg at (0.250, 0.250, 0.750), Ge at (0.000, 0.000, 0.500) and Ge at (0.250, 0.250, 0.250).

The calculation puts the mass density at 6.7 g cm⁻³. As for the total DFT energy (no corrections): -3.852 eV per atom.

---

A geometry-optimized LuMgNiGe structure. Source: the Open Quantum Materials Database, functional PBE.

The space group is F-43m (No. 216) and the conventional cell measures 6.488, 6.488 and 6.488 Å, with angles of 90.00, 90.00 and 90.00 degrees. The asymmetric unit holds Lu at (0.000, 0.000, 0.000), Mg at (0.250, 0.250, 0.250), Ni at (0.250, 0.250, 0.750) and Ge at (0.000, 0.000, 0.500).

The calculation puts the mass density at 8.0 g cm⁻³. As for the total DFT energy (no corrections): -4.267 eV per atom.